# 1
Nd4HoSb2: relaxed, PBE.

```
7
Lattice="-2.784 3.789 -2.693 -0.075 -3.176 -4.390 -5.863 -3.787 6.185" Properties=species:S:1:pos:R:3 pbc="T T T"
Nd -6.039 -1.893 -1.871
Nd -0.038 -1.588 -2.195
Nd -2.684 -1.281 0.973
Nd -1.392 1.895 -1.347
Sb -3.368 -0.618 -2.839
Sb -5.355 -2.555 1.941
Ho 0.000 0.000 0.000
```

Computed properties:
Energy relative to the elements, uncorrected in eV/atom: 0.099
Space group: I4/mmm
V in Å³/atom: 35.66

# 2
TiCu4S5: relaxed, PBE.

```
10
Lattice="6.171 0.000 0.000 3.086 5.161 0.000 3.086 0.000 5.161" Properties=species:S:1:pos:R:3 pbc="T T T"
S 2.709 3.137 1.012
S 5.795 4.149 3.137
S 5.795 1.012 2.024
S 8.880 2.024 4.149
S 2.761 0.000 0.000
Cu 6.533 3.029 1.022
Cu 6.533 2.132 4.138
Cu 9.619 4.138 3.029
Cu 3.448 1.022 2.132
Ti 0.446 0.000 0.000
```

Computed properties:
Energy relative to the elements, uncorrected in eV/atom: -0.419
Space group: I4
V in Å³/atom: 16.44

Which value of V does entry 2 give?
16.44 Å³/atom